Computed, not measured: an optimized crystal structure of MgCdNi2 at the PBE level of DFT.

Cell: 2.852 4.211 5.193 Å, 90.00 103.98 90.00°
Space group Pm (No. 6)
Unique sites:
Mg1 0.000 0.000 0.000 [1 per cell]
Cd1 0.293 0.500 0.646 [1 per cell]
Ni1 0.592 0.500 0.182 [1 per cell]
Ni2 0.692 0.000 0.444 [1 per cell]

Output
* DFT total energy: -3.5256 eV/atom

***

Computed, not measured: an optimized crystal structure of Tb3CoSi2 at the PBE level of DFT.

Cell: 11.442 4.105 11.162 Å, 90.00 90.00 90.00°
Space group Pnma (No. 62)
Unique sites:
Tb1 0.057 0.250 0.126 [4 per cell]
Tb2 0.118 0.750 0.558 [4 per cell]
Tb3 0.218 0.250 0.799 [4 per cell]
Co1 0.131 0.250 0.365 [4 per cell]
Si1 0.026 0.750 0.316 [4 per cell]
Si2 0.198 0.750 0.993 [4 per cell]

Output
* raw formation energy: -0.67 eV/atom

***

Computed, not measured: an optimized crystal structure of La3DySe4 at the PBE level of DFT.

Cell: 8.576 12.043 4.221 Å, 90.00 90.00 90.00°
Space group Cmmm (No. 65)
Unique sites:
La1 0.000 0.000 0.000 [2 per cell]
La2 0.250 0.250 0.500 [4 per cell]
Dy1 0.000 0.500 0.000 [2 per cell]
Se1 0.000 0.257 0.000 [4 per cell]
Se2 0.237 0.500 0.500 [4 per cell]

Output
* raw formation energy: -1.93 eV/atom

***

Computed, not measured: an optimized crystal structure of CuIO4 at the PBE level of DFT.

Cell: 9.390 6.256 6.237 Å, 90.00 90.00 90.00°
Space group Pnma (No. 62)
Unique sites:
Cu1 0.000 0.000 0.000 [4 per cell]
I1 0.221 0.250 0.485 [4 per cell]
O1 0.046 0.750 0.857 [4 per cell]
O2 0.078 0.250 0.681 [4 per cell]
O3 0.183 0.514 0.114 [8 per cell]

Output
* raw formation energy: -0.35 eV/atom

***

Computed, not measured: an optimized crystal structure of SmPd3Au9 at the PBE level of DFT.

Cell: 5.630 13.140 7.192 Å, 90.00 112.23 90.00°
Space group C2/m (No. 12)
Unique sites:
Sm1 0.000 0.000 0.000 [2 per cell]
Pd1 0.000 0.000 0.500 [2 per cell]
Pd2 0.250 0.250 0.000 [4 per cell]
Au1 0.000 0.500 0.500 [2 per cell]
Au2 0.109 0.392 0.214 [8 per cell]
Au3 0.157 0.171 0.335 [8 per cell]

Output
* DFT total energy: -4.0874 eV/atom

***

Computed, not measured: an optimized crystal structure of NaSr2Mg3Sn4 at the PBE level of DFT.

Cell: 4.786 4.786 12.744 Å, 90.00 90.00 90.00°
Space group P-4m2 (No. 115)
Unique sites:
Na1 0.000 0.000 0.000 [1 per cell]
Sr1 0.000 0.500 0.747 [2 per cell]
Mg1 0.000 0.500 0.362 [2 per cell]
Mg2 0.500 0.500 0.000 [1 per cell]
Sn1 0.000 0.000 0.500 [1 per cell]
Sn2 0.000 0.500 0.145 [2 per cell]
Sn3 0.500 0.500 0.500 [1 per cell]

Output
* DFT total energy: -2.9129 eV/atom

***

Computed, not measured: an optimized crystal structure of CaLa2TlTc at the PBE level of DFT.

Cell: 5.350 5.350 5.744 Å, 90.00 90.00 90.00°
Space group P4/mmm (No. 123)
Unique sites:
Ca1 0.000 0.000 0.000 [1 per cell]
La1 0.000 0.500 0.500 [2 per cell]
Tl1 0.500 0.500 0.000 [1 per cell]
Tc1 0.000 0.000 0.500 [1 per cell]

Output
* offset from the most stable computed form: 0.00 eV per formula unit

***

Computed, not measured: an optimized crystal structure of K2GaPbO5 at the PBE level of DFT.

Cell: 3.373 13.559 12.762 Å, 90.00 90.00 90.00°
Space group Cmc2_1 (No. 36)
Unique sites:
K1 0.000 0.077 0.000 [4 per cell]
K2 0.000 0.163 0.605 [4 per cell]
Ga1 0.000 0.476 0.767 [4 per cell]
Pb1 0.000 0.221 0.332 [4 per cell]
O1 0.000 0.051 0.340 [4 per cell]
O2 0.000 0.265 0.944 [4 per cell]
O3 0.000 0.325 0.725 [4 per cell]
O4 0.000 0.378 0.288 [4 per cell]
O5 0.000 0.485 0.129 [4 per cell]

Output
* raw formation energy: -1.24 eV/atom